VASP calculation (meta-GGA SCAN) on a crystal of InPb2Se relaxed with PBEsol.

Computed properties:
* Fermi-level density of states: 1.7 states/eV/f.u.
* energy relative to the lowest polymorph listed for this composition: 0.21 eV per formula unit
* SG: P4/mmm, No. 123
* total energy: -51.2940 eV/atom
* total moment: 0.00 μB per atom
* energy relative to the elements, uncorrected: -0.037 eV per atom

Lattice parameters (Å, degrees): 3.869 3.869 7.128 90.00 90.00 90.00
Sites, in units of the cell vectors:
In: 0.000 0.000 0.000
Pb: 0.500 0.500 0.273
Pb: 0.500 0.500 0.727
Se: 0.000 0.000 0.500

=====

VASP calculation (meta-GGA SCAN) on a crystal of In2PbSe relaxed with PBEsol.

Computed properties:
* Fermi-level density of states: 1.2 states/eV/f.u.
* energy relative to the lowest polymorph listed for this composition: 0.00 eV per formula unit
* SG: Pmm2, No. 25
* total energy: -40.8593 eV/atom
* total moment: 0.00 μB per atom
* energy relative to the elements, uncorrected: -0.201 eV per atom

Lattice parameters (Å, degrees): 3.918 5.754 4.782 90.00 90.00 90.00
Sites, in units of the cell vectors:
In: 0.000 0.000 0.000
In: 0.500 0.500 0.305
Pb: 0.000 0.500 0.800
Se: 0.500 0.000 0.404

=====

VASP calculation (meta-GGA SCAN) on a crystal of In2PbSe relaxed with PBEsol.

Computed properties:
* Fermi-level density of states: 2.3 states/eV/f.u.
* energy relative to the lowest polymorph listed for this composition: 1.02 eV per formula unit
* SG: F-43m, No. 216
* total energy: -40.6050 eV/atom
* total moment: 0.00 μB per atom
* energy relative to the elements, uncorrected: 0.053 eV per atom

Lattice parameters (Å, degrees): 5.253 5.253 5.253 60.00 60.00 60.00
Sites, in units of the cell vectors:
In: 0.000 0.000 0.000
In: 0.250 0.250 0.250
Pb: 0.500 0.500 0.500
Se: 0.750 0.750 0.750

=====

VASP calculation (meta-GGA SCAN) on a crystal of InPbSe2 relaxed with PBEsol.

Computed properties:
* Fermi-level density of states: 0.7 states/eV/f.u.
* SG: Amm2, No. 38
* total energy: -37.7637 eV/atom
* total moment: 0.00 μB per atom
* energy relative to the elements, uncorrected: -0.433 eV per atom

Lattice parameters (Å, degrees): 4.256 6.295 6.295 37.94 90.00 90.00
Sites, in units of the cell vectors:
In: 0.000 0.000 0.000
Pb: 0.500 0.746 0.746
Se: 0.000 0.225 0.225
Se: 0.500 0.487 0.487

=====

VASP calculation (meta-GGA SCAN) on a crystal of InPbSe2 relaxed with PBEsol.

Computed properties:
* Fermi-level density of states: 1.2 states/eV/f.u.
* SG: P4/mmm, No. 123
* total energy: -37.8179 eV/atom
* total moment: 0.00 μB per atom
* energy relative to the elements, uncorrected: -0.487 eV per atom

Lattice parameters (Å, degrees): 4.214 4.214 5.979 90.00 90.00 90.00
Sites, in units of the cell vectors:
In: 0.000 0.000 0.000
Pb: 0.500 0.500 0.500
Se: 0.000 0.000 0.500
Se: 0.500 0.500 0.000

=====

VASP calculation (meta-GGA SCAN) on a crystal of InPbSe2 relaxed with PBEsol.

Computed properties:
* Fermi-level density of states: 2.5 states/eV/f.u.
* SG: R-3m, No. 166
* total energy: -37.6985 eV/atom
* total moment: 0.00 μB per atom
* energy relative to the elements, uncorrected: -0.367 eV per atom

Lattice parameters (Å, degrees): 9.285 9.285 9.285 23.74 23.74 23.74
Sites, in units of the cell vectors:
In: 0.000 0.000 0.000
Pb: 0.500 0.500 0.500
Se: 0.392 0.392 0.392
Se: 0.608 0.608 0.608

=====

VASP calculation (meta-GGA SCAN) on a crystal of InPbSe2 relaxed with PBEsol.

Computed properties:
* Fermi-level density of states: 1.8 states/eV/f.u.
* SG: C2/m, No. 12
* total energy: -37.8070 eV/atom
* total moment: 0.00 μB per atom
* energy relative to the elements, uncorrected: -0.476 eV per atom

Lattice parameters (Å, degrees): 4.163 4.163 7.402 106.33 106.33 59.54
Sites, in units of the cell vectors:
In: 0.000 0.000 0.000
Pb: 0.500 0.500 0.500
Se: 0.256 0.256 0.765
Se: 0.744 0.744 0.235

=====

VASP calculation (meta-GGA SCAN) on a crystal of InPbSe relaxed with PBEsol.

Computed properties:
* Fermi-level density of states: 1.8 states/eV/f.u.
* SG: F-43m, No. 216
* total energy: -43.0263 eV/atom
* total moment: 0.00 μB per atom
* energy relative to the elements, uncorrected: 0.056 eV per atom

Lattice parameters (Å, degrees): 5.086 5.086 5.086 60.00 60.00 60.00
Sites, in units of the cell vectors:
In: 0.000 0.000 0.000
Pb: 0.500 0.500 0.500
Se: 0.250 0.250 0.250